1.
Below is TmMg4Tl7 after structural relaxation, with properties calculated at the PBE level.

Values from the calculation:
Its density of states at the Fermi level is 4.54 states/eV/f.u. For the calculated volume, the calculation gives 27.58 Å³/atom. As for the spin magnetization: 0.0 μB/cell. The calculated total energy comes out at -2.26 eV per atom.

Lattice parameters (Å, degrees): 7.818 7.818 9.162 119.76 119.76 44.44
Atoms (fractional coordinates):
Tm 0.000 0.000 0.000
Mg 0.306 0.306 0.664
Mg 0.471 0.471 0.301
Mg 0.529 0.529 0.699
Mg 0.694 0.694 0.336
Tl 0.070 0.070 0.403
Tl 0.202 0.202 0.885
Tl 0.270 0.270 0.305
Tl 0.500 0.500 0.000
Tl 0.730 0.730 0.695
Tl 0.798 0.798 0.115
Tl 0.930 0.930 0.597



2.
Below is Ac12ThIr7 after structural relaxation, with properties calculated at the PBE level.

Values from the calculation:
Its density of states at the Fermi level is 14.75 states/eV/f.u. For the calculated volume, the calculation gives 36.41 Å³/atom. As for the spin magnetization: 0.0 μB/cell. The calculated total energy comes out at -6.54 eV per atom.

Lattice parameters (Å, degrees): 9.584 9.584 9.584 107.24 107.24 107.24
Atoms (fractional coordinates):
Ac 0.052 0.343 0.129
Ac 0.129 0.052 0.343
Ac 0.186 0.717 0.574
Ac 0.283 0.426 0.814
Ac 0.343 0.129 0.052
Ac 0.426 0.814 0.283
Ac 0.574 0.186 0.717
Ac 0.657 0.871 0.948
Ac 0.717 0.574 0.186
Ac 0.814 0.283 0.426
Ac 0.871 0.948 0.657
Ac 0.948 0.657 0.871
Th 0.500 0.500 0.500
Ir 0.000 0.000 0.000
Ir 0.160 0.385 0.473
Ir 0.385 0.473 0.160
Ir 0.473 0.160 0.385
Ir 0.527 0.840 0.615
Ir 0.615 0.527 0.840
Ir 0.840 0.615 0.527



3.
Below is LaSe2Cl after structural relaxation, with properties calculated at the PBE level.

Values from the calculation:
Its density of states at the Fermi level is 1.10 states/eV/f.u. For the calculated volume, the calculation gives 23.10 Å³/atom. The value obtained for the uncorrected formation energy is -1.39 eV per atom. As for the spin magnetization: 0.0 μB/cell. The calculated total energy comes out at -4.83 eV per atom. The polymorph energy (0 for the lowest one) is 0.134 eV per atom.

Lattice parameters (Å, degrees): 4.251 4.251 10.225 90.00 90.00 90.00
Atoms (fractional coordinates):
La 0.000 0.000 0.000
La 0.500 0.500 0.500
Se 0.000 0.500 0.250
Se 0.000 0.500 0.750
Se 0.500 0.000 0.250
Se 0.500 0.000 0.750
Cl 0.000 0.000 0.500
Cl 0.500 0.500 0.000